This record from the Alexandria database describes crystalline LiV6O11F at its relaxed geometry. The functional is PBE with a Hubbard U.

Summary:
E above lowest polymorph: 14.7 meV/atom
calculated volume: 10.44 Å³/atom
space group: No. 1
magnetization: 0.42 μB/atom

abc: 4.670 4.683 9.075
angles: 90.01 89.52 88.21
Site moments in Bohr magnetons follow the coordinates.
Sites, in units of the cell vectors:
Li: 0.492 0.017 0.246  0.00
V: 0.990 0.983 0.989  1.19
V: 0.001 0.000 0.670  1.83
V: 0.978 0.969 0.358  1.12
V: 0.481 0.484 0.830  1.23
V: 0.530 0.519 0.161  1.84
V: 0.477 0.473 0.502  1.20
O: 0.804 0.803 0.835  -0.07
O: 0.798 0.785 0.496  -0.09
O: 0.813 0.820 0.170  -0.04
O: 0.705 0.301 0.999  -0.07
O: 0.691 0.308 0.665  -0.07
O: 0.701 0.294 0.337  -0.03
O: 0.302 0.723 0.999  -0.08
O: 0.312 0.697 0.665  -0.07
O: 0.313 0.708 0.331  -0.04
O: 0.203 0.213 0.835  -0.09
O: 0.198 0.202 0.494  -0.08
F: 0.197 0.214 0.168  0.00